DFT (PBE) results for a relaxed structure of NpI2Cl4.

Lattice parameters (Å, degrees): 5.1964 5.1964 26.3415 90.00 90.00 90.00
Last column: nearest neighbours and their distance in Å.
Space group I4/mmm (No. 139)
One atom of each set of equivalent atoms:
Np: 0.0000 0.0000 0.0000 (multiplicity 2)  6 Cl 2.48-2.60
I: 0.0000 0.0000 0.2503 (multiplicity 4)  4 I 3.67, 1 Cl 4.11
Cl: 0.0000 0.0000 0.0942 (multiplicity 4)  1 Np 2.48
Cl: 0.0000 0.5000 0.0000 (multiplicity 4)  2 Np 2.60

## Properties
density of states at the Fermi level	21.4	states/eV/cell
DFT total energy	-4.320	eV/atom
calculated volume	50.8	A^3/atom

---

DFT (PBE) results for a relaxed structure of NpICl.

Lattice parameters (Å, degrees): 5.0647 5.0650 8.0113 90.00 98.55 90.00
Last column: nearest neighbours and their distance in Å.
Space group P2_1/m (No. 11)
One atom of each set of equivalent atoms:
Np: 0.2499 0.2500 0.0000 (multiplicity 2)  4 Cl 2.91-2.92
I: 0.1866 0.7500 0.7297 (multiplicity 2)  4 Np 3.32, 5 Cl 3.59-3.65
Cl: 0.2929 0.7500 0.1822 (multiplicity 2)  4 Np 2.91-2.92

## Properties
density of states at the Fermi level	11.5	states/eV/cell
DFT total energy	-6.485	eV/atom
energy relative to the lowest polymorph listed for this composition	0.0	meV/atom
calculated volume	33.9	A^3/atom

---

DFT (PBE) results for a relaxed structure of NpI2Cl2.

Lattice parameters (Å, degrees): 9.7084 10.1732 4.4604 90.00 90.00 90.00
Last column: nearest neighbours and their distance in Å.
Space group Cmmm (No. 65)
One atom of each set of equivalent atoms:
Np: 0.0000 0.0000 0.0000 (multiplicity 2)  2 Cl 2.50
I: 0.0000 0.2085 0.5000 (multiplicity 4)  2 Np 3.08
Cl: 0.2429 0.5000 0.0000 (multiplicity 4)  1 Np 2.50

## Properties
density of states at the Fermi level	21.8	states/eV/cell
DFT total energy	-5.105	eV/atom
calculated volume	44.1	A^3/atom

---

DFT (PBE) results for a relaxed structure of NpICl2.

Lattice parameters (Å, degrees): 8.3414 11.9838 7.5493 90.00 120.67 90.00
Last column: nearest neighbours and their distance in Å.
Space group Cc (No. 9)
One atom of each set of equivalent atoms:
Np: 0.0000 0.0931 0.0000 (multiplicity 4)  4 Cl 2.72-2.73
I: 0.2587 0.4014 0.7061 (multiplicity 4)  2 Np 3.11
Cl: 0.1938 0.0595 0.8031 (multiplicity 4)  2 Np 2.72-2.73
Cl: 0.2603 0.2499 0.2339 (multiplicity 4)  2 Np 2.73

## Properties
density of states at the Fermi level	32.0	states/eV/cell
DFT total energy	-5.965	eV/atom
energy relative to the lowest polymorph listed for this composition	0.0	meV/atom
calculated volume	40.6	A^3/atom

---

DFT (PBE) results for a relaxed structure of Np2I2Cl3.

Lattice parameters (Å, degrees): 12.1113 4.3204 8.3465 90.00 113.68 90.00
Last column: nearest neighbours and their distance in Å.
Space group C2/m (No. 12)
One atom of each set of equivalent atoms:
Np: 0.1560 0.0000 0.2191 (multiplicity 4)  5 Cl 2.87-2.97
I: 0.1464 0.0000 0.8023 (multiplicity 4)  4 Np 3.28-3.60, 2 Cl 3.59
Cl: 0.0000 0.5000 0.0000 (multiplicity 2)  4 Np 2.97, 2 Cl 3.32
Cl: 0.1376 0.5000 0.4330 (multiplicity 4)  3 Np 2.87-2.97

## Properties
density of states at the Fermi level	26.9	states/eV/cell
DFT total energy	-6.183	eV/atom
calculated volume	28.6	A^3/atom

---

DFT (PBE) results for a relaxed structure of NpICl2.

Lattice parameters (Å, degrees): 3.9608 5.4406 7.8420 109.47 90.21 111.30
Last column: nearest neighbours and their distance in Å.
Space group P1 (No. 1)
One atom of each set of equivalent atoms:
Np: 0.0000 0.0000 0.0000 (multiplicity 1)  5 Cl 2.74-2.95
I: 0.4697 0.9437 0.6807 (multiplicity 1)  2 Np 3.12
Cl: 0.2918 0.5837 0.0041 (multiplicity 1)  3 Np 2.90-2.95
Cl: 0.6325 0.2619 0.2438 (multiplicity 1)  2 Np 2.74

## Properties
density of states at the Fermi level	5.1	states/eV/cell
DFT total energy	-5.926	eV/atom
energy relative to the lowest polymorph listed for this composition	38.5	meV/atom
calculated volume	36.7	A^3/atom